A plane-wave DFT calculation with PBE was carried out for a geometry-optimized Ca3AgSn3 structure.

Calculated values
energy = -0.13142 Ha/atom
crystal system = monoclinic

```
Ca3AgSn3
1.0
5.712 -2.386 0.000
5.712 2.386 0.000
-5.076 0.000 14.536
Ca Ag Sn
6 2 6
direct
0.039 0.039 0.385
0.097 0.097 0.920
0.236 0.236 0.229
0.764 0.764 0.771
0.903 0.903 0.080
0.961 0.961 0.615
0.258 0.258 0.610
0.742 0.742 0.390
0.367 0.367 0.454
0.383 0.383 0.924
0.475 0.475 0.766
0.525 0.525 0.234
0.617 0.617 0.076
0.633 0.633 0.546
```